[1]
Crystalline BaMnInOs2 at its relaxed geometry. Source: Alexandria via LeMat-Bulk, functional PBE.

a = 4.6757 Å, b = 4.9760 Å, c = 4.6757 Å
α = 90.00°, β = 90.00°, γ = 90.00°
Last column: nearest neighbours and their distance in Å.
Fractional coordinates of all 5 atoms:
In (0.0000, 0.5000, 0.0000)  2 Mn 2.49
Os (0.5000, 0.0000, 0.0000)  2 Mn 2.34
Os (0.0000, 0.0000, 0.5000)  2 Mn 2.34
Ba (0.5000, 0.5000, 0.5000)  4 In 3.31, 8 Os 3.41
Mn (0.0000, 0.0000, 0.0000)  4 Os 2.34, 2 In 2.49

Summary:
* formation energy: 903 meV per atom
* space group: P4/mmm (123)
* spin magnetization: 0.00 μB/f.u.

---

[2]
Crystalline KBiAs2Br at its relaxed geometry. Source: Alexandria via LeMat-Bulk, functional PBE.

a = 6.1428 Å, b = 6.1428 Å, c = 5.5872 Å
α = 90.00°, β = 90.00°, γ = 90.00°
Last column: nearest neighbours and their distance in Å.
Fractional coordinates of all 5 atoms:
K (0.0000, 0.0000, 0.0000)  2 Br 2.79, 4 As 3.07
Bi (0.5000, 0.5000, 0.5000)  8 As 4.15, 4 Br 4.34
As (0.0000, 0.5000, 0.0000)  2 K 3.07
As (0.5000, 0.0000, 0.0000)  2 K 3.07
Br (0.0000, 0.0000, 0.5000)  2 K 2.79

Summary:
* space group: P4/mmm (123)
* spin magnetization: 3.01 μB/f.u.
* offset from the most stable computed form: 0.878 eV per atom

---

[3]
Crystalline AsOs2Cl at its relaxed geometry. Source: Alexandria via LeMat-Bulk, functional PBE.

a = 3.0590 Å, b = 3.0590 Å, c = 6.7583 Å
α = 90.00°, β = 90.00°, γ = 90.00°
Last column: nearest neighbours and their distance in Å.
Fractional coordinates of all 4 atoms:
Os (0.0000, 0.0000, 0.4532)  4 As 2.56, 1 Os 2.75
Os (0.0000, 0.0000, 0.0468)  4 As 2.56, 1 Os 2.75
As (0.5000, 0.5000, 0.2500)  8 Os 2.56
Cl (0.5000, 0.5000, 0.7500)  8 Os 2.95, 4 Cl 3.06

Summary:
* space group: P4/mmm (123)
* spin magnetization: 0.00 μB/f.u.
* offset from the most stable computed form: 0.653 eV per atom